1.
## Sr2HfTlRe (GGA-PBE)

Data for Sr2HfTlRe after structural relaxation.

Results
formation enthalpy at 0 K: 1.064 eV/atom

Unit cell a=6.3379 b=6.3379 c=4.6904 alpha=90.00 beta=90.00 gamma=90.00
Last column: nearest neighbours and their distance in Å.
Element x y z (fractional)
Re  0.0000  0.0000  0.5000  2 Hf 2.35
Tl  0.5000  0.5000  0.5000  8 Sr 3.94
Hf  0.0000  0.0000  0.0000  2 Re 2.35
Sr  0.0000  0.5000  0.0000  2 Hf 3.17
Sr  0.5000  0.0000  0.0000  2 Hf 3.17

---

2.
## Ac8Ru3RhI4 (GGA-PBE)

Data for Ac8Ru3RhI4 after structural relaxation.

Results
uncorrected formation energy: -76 kJ per mole of atoms

Unit cell a=8.7130 b=10.0021 c=8.7084 alpha=115.75 beta=120.02 gamma=90.00
Last column: nearest neighbours and their distance in Å.
Element x y z (fractional)
Ac  0.2301  0.6839  0.9536  2 Ru 2.96, 1 Rh 3.00
Ac  0.2302  0.6839  0.4604  2 Ru 2.96, 1 Rh 3.00
Ac  0.2718  0.3151  0.5435  3 Ru 2.98
Ac  0.7235  0.6839  0.9536  2 Ru 2.96, 1 Rh 3.00
Ac  0.2765  0.3161  0.0464  2 Ru 2.96, 1 Rh 3.00
Ac  0.7282  0.6849  0.4565  3 Ru 2.98
Ac  0.7698  0.3161  0.5396  2 Ru 2.96, 1 Rh 3.00
Ac  0.7699  0.3161  0.0464  2 Ru 2.96, 1 Rh 3.00
Ru  0.5000  0.5000  0.0000  6 Ac 2.96-2.98
Ru  0.5000  0.5000  0.5000  6 Ac 2.96-2.98
Ru  0.0000  0.5000  0.5000  6 Ac 2.96-2.98
Rh  0.0000  0.5000  0.0000  6 Ac 3.00
I  0.5000  0.0000  0.0000  6 Ac 3.69
I  0.5000  0.0000  0.5000  6 Ac 3.71-3.73
I  0.0000  0.0000  0.0000  6 Ac 3.71-3.73
I  0.0000  0.0000  0.5000  6 Ac 3.71-3.73

---

3.
## Hg2TeRh (GGA-PBE)

Data for Hg2TeRh after structural relaxation.

Results
ΔE to the lowest computed polymorph: 422 meV/atom
uncorrected formation energy: 32 kJ per mole of atoms

Unit cell a=4.9550 b=4.9550 c=4.9550 alpha=60.00 beta=60.00 gamma=60.00
Last column: nearest neighbours and their distance in Å.
Element x y z (fractional)
Hg  0.0000  0.0000  0.0000  4 Te 3.03, 4 Hg 3.03
Hg  0.2500  0.2500  0.2500  4 Hg 3.03, 4 Rh 3.03
Te  0.7500  0.7500  0.7500  4 Rh 3.03, 4 Hg 3.03
Rh  0.5000  0.5000  0.5000  4 Te 3.03, 4 Hg 3.03

---

4.
## Sr3HfAl (GGA-PBE)

Data for Sr3HfAl after structural relaxation.

Results
ΔE to the lowest computed polymorph: 0 meV/atom
formation enthalpy at 0 K: 0.848 eV/atom

Unit cell a=6.1087 b=6.1087 c=6.1087 alpha=90.00 beta=90.00 gamma=90.00
Last column: nearest neighbours and their distance in Å.
Element x y z (fractional)
Sr  0.0000  0.5000  0.0000  2 Al 3.05
Sr  0.0000  0.0000  0.5000  2 Al 3.05
Sr  0.5000  0.0000  0.0000  2 Al 3.05
Hf  0.5000  0.5000  0.5000  12 Sr 4.32
Al  0.0000  0.0000  0.0000  6 Sr 3.05

---

5.
## NpGeSe (GGA-PBE)

Data for NpGeSe after structural relaxation.

Results
uncorrected formation energy: -72 kJ per mole of atoms

Unit cell a=3.9669 b=3.9669 c=8.7067 alpha=103.17 beta=103.17 gamma=90.00
Last column: nearest neighbours and their distance in Å.
Element x y z (fractional)
Np  0.3609  0.3609  0.7219  5 Se 2.89-2.97, 4 Ge 3.03
Np  0.6391  0.6391  0.2781  5 Se 2.89-2.97, 4 Ge 3.03
Ge  0.0000  0.5000  0.0000  4 Ge 2.80, 4 Np 3.03
Ge  0.5000  0.0000  0.0000  4 Ge 2.80, 4 Np 3.03
Se  0.1810  0.1810  0.3620  5 Np 2.89-2.97
Se  0.8190  0.8190  0.6380  5 Np 2.89-2.97

---

6.
## GaCoGePt (GGA-PBE)

Data for GaCoGePt after structural relaxation.

Results
ΔE to the lowest computed polymorph: 25 meV/atom
formation enthalpy at 0 K: -0.290 eV/atom

Unit cell a=2.7807 b=3.1147 c=13.3212 alpha=90.00 beta=90.00 gamma=90.00
Last column: nearest neighbours and their distance in Å.
Element x y z (fractional)
Ge  0.0000  0.0000  0.2742  4 Co 2.49, 2 Pt 2.61, 2 Ge 2.78
Ge  0.0000  0.5000  0.7742  4 Co 2.49, 2 Pt 2.61, 2 Ge 2.78
Co  0.5000  0.0000  0.6716  4 Ge 2.49, 4 Ga 2.56, 2 Co 2.78
Co  0.5000  0.5000  0.1716  4 Ge 2.49, 4 Ga 2.56, 2 Co 2.78
Ga  0.0000  0.0000  0.0601  4 Co 2.56, 4 Pt 2.63, 2 Ga 2.78, 1 Ge 2.85
Ga  0.0000  0.5000  0.5601  4 Co 2.56, 4 Pt 2.63, 2 Ga 2.78, 1 Ge 2.85
Pt  0.5000  0.0000  0.4400  2 Ge 2.61, 4 Ga 2.63, 2 Pt 2.78
Pt  0.5000  0.5000  0.9400  2 Ge 2.61, 4 Ga 2.63, 2 Pt 2.78

---

Number 1: E -4.562 eV per atom. Number 2: E -5.423 eV per atom. Number 3: E -2.439 eV per atom. Number 4: E -2.900 eV per atom. Number 5: E -7.757 eV per atom. Number 6: E -5.487 eV per atom.